Record 1
# GGA-PBE Fe2CuSb8, relaxed
# E_form (uncorrected) = 0.17 eV/atom
# total moment = 0.00 μB/f.u.
data_Fe2CuSb8
_cell_length_a 14.156
_cell_length_b 8.132
_cell_length_c 4.750
_cell_angle_alpha 90.00
_cell_angle_beta 90.02
_cell_angle_gamma 90.00
_space_group_name_H-M_alt 'C 1 2/m 1'
_space_group_IT_number 12
_space_group_name_Hall '-C 2y'
loop_
_atom_site_label
_atom_site_fract_x
_atom_site_fract_y
_atom_site_fract_z
Fe1 0.165 0.000 0.265
Cu1 0.000 0.000 0.500
Sb1 0.082 0.271 0.237
Sb2 0.156 0.500 0.725
Sb3 0.175 0.000 0.766

***

Record 2
# GGA-PBE Y2UCo3, relaxed
# formation energy = -0.228 eV per atom
# total moment = 0.00 μB/f.u.
data_Y2UCo3
_cell_length_a 5.120
_cell_length_b 10.877
_cell_length_c 4.002
_cell_angle_alpha 90.00
_cell_angle_beta 90.00
_cell_angle_gamma 90.00
_space_group_name_H-M_alt 'P n n m'
_space_group_IT_number 58
_space_group_name_Hall '-P 2 2n'
loop_
_atom_site_label
_atom_site_fract_x
_atom_site_fract_y
_atom_site_fract_z
Y1 0.196 0.202 0.000
U1 0.000 0.500 0.000
Co1 0.000 0.000 0.500
Co2 0.210 0.423 0.500

***

Record 3
# GGA-PBE ZrZn3Pb, relaxed
# formation energy = 0.987 eV per atom
# total moment = 0.00 μB/f.u.
data_ZrZn3Pb
_cell_length_a 5.058
_cell_length_b 5.058
_cell_length_c 5.058
_cell_angle_alpha 90.00
_cell_angle_beta 90.00
_cell_angle_gamma 90.00
_space_group_name_H-M_alt 'P m -3 m'
_space_group_IT_number 221
_space_group_name_Hall '-P 4 2 3'
loop_
_atom_site_label
_atom_site_fract_x
_atom_site_fract_y
_atom_site_fract_z
Zr1 0.000 0.000 0.000
Zn1 0.000 0.500 0.500
Pb1 0.500 0.500 0.500

***

Record 4
# GGA-PBE Cu7Pd2Pt2, relaxed
# formation energy = 0.022 eV per atom
# total moment = 0.00 μB/f.u.
data_Cu7Pd2Pt2
_cell_length_a 6.082
_cell_length_b 8.365
_cell_length_c 6.301
_cell_angle_alpha 90.00
_cell_angle_beta 102.67
_cell_angle_gamma 90.00
_space_group_name_H-M_alt 'C 1 2/m 1'
_space_group_IT_number 12
_space_group_name_Hall '-C 2y'
loop_
_atom_site_label
_atom_site_fract_x
_atom_site_fract_y
_atom_site_fract_z
Cu1 0.000 0.000 0.000
Cu2 0.175 0.271 0.159
Cu3 0.213 0.000 0.513
Pd1 0.096 0.500 0.825
Pt1 0.000 0.265 0.500

***

Record 5
# GGA-PBE Be3CdSe, relaxed
# E_form (uncorrected) = 0.89 eV/atom
# total moment = 0.00 μB/f.u.
data_Be3CdSe
_cell_length_a 4.400
_cell_length_b 4.400
_cell_length_c 4.400
_cell_angle_alpha 90.00
_cell_angle_beta 90.00
_cell_angle_gamma 90.00
_space_group_name_H-M_alt 'P m -3 m'
_space_group_IT_number 221
_space_group_name_Hall '-P 4 2 3'
loop_
_atom_site_label
_atom_site_fract_x
_atom_site_fract_y
_atom_site_fract_z
Be1 0.000 0.000 0.500
Cd1 0.500 0.500 0.500
Se1 0.000 0.000 0.000

***

Record 6
# GGA-PBE Cr5Co3, relaxed
# formation energy = 0.210 eV per atom
# total moment = 4.51 μB/f.u.
data_Cr5Co3
_cell_length_a 6.9280
_cell_length_b 6.9280
_cell_length_c 4.4419
_cell_angle_alpha 90.00
_cell_angle_beta 90.00
_cell_angle_gamma 120.00
_space_group_name_H-M_alt 'P 63/m c m'
_space_group_IT_number 193
_space_group_name_Hall '-P 6c 2'
loop_
_atom_site_label
_atom_site_fract_x
_atom_site_fract_y
_atom_site_fract_z
Cr1 0.0000 0.2311 0.2500
Cr2 0.3333 0.6667 0.0000
Co1 0.0000 0.4060 0.7500

***

Question: The highest total moment belongs to which entry?
Answer: Cr5Co3

***

Question: Which of these has the highest total moment?
Answer: Cr5Co3

***

Question: Look up the total moment of the fifth one.
Answer: 0.00 μB/f.u.